Material: SrCa3
Method: DFT, SCAN
State: PBEsol geometry Values from VASP.

```
&SYSTEM
  ibrav = 0, nat = 4, ntyp = 2
/
ATOMIC_SPECIES
Sr 87.62 Sr.upf
Ca 40.08 Ca.upf
CELL_PARAMETERS angstrom
2.784 -2.792 0.000
2.784 2.792 0.000
0.000 0.000 11.084
ATOMIC_POSITIONS crystal
Sr 0.000 0.000 0.000
Ca 0.000 0.000 0.500
Ca 0.500 0.500 0.262
Ca 0.500 0.500 0.738
```

## Properties
Magnetic moment = 0.656 μB per formula unit
Energy relative to the lowest polymorph listed for this composition = 0.00 eV per formula unit
Formation enthalpy at 0 K = 1.1 kJ per mole of atoms